CsTlPb4, relaxed, DFT PBE; final energy = -3.07 eV per atom; energy of formation = -56 meV/atom; energy relative to the lowest polymorph listed for this composition = 0.00 eV/f.u.
1.0
5.649 0.000 0.000
-2.825 4.892 0.000
0.000 0.000 8.412
Tl Cs Pb
1 1 4
direct
0.000 0.000 0.000
0.000 0.000 0.500
0.667 0.333 0.814
0.333 0.667 0.186
0.667 0.333 0.186
0.333 0.667 0.814

=====

Sr2AcTe, relaxed, DFT PBE; final energy = -3.32 eV per atom; E_form (uncorrected) = -0.669 eV per atom; energy relative to the lowest polymorph listed for this composition = 0.00 eV/f.u.
1.0
-0.004 4.078 -0.276
-4.070 0.021 0.382
0.946 0.681 10.050
Ac Te Sr
1 1 2
direct
0.500 0.500 0.500
0.500 0.500 0.000
0.000 0.000 0.809
0.000 0.000 0.191

=====

ZnAgSnPd2, relaxed, DFT PBE; final energy = -2.91 eV per atom; energy of formation = 790 meV/atom
1.0
5.042 0.000 0.000
0.000 4.983 0.000
0.000 0.000 5.042
Pd Zn Sn Ag
2 1 1 1
direct
0.000 0.000 0.500
0.500 0.000 0.000
0.500 0.500 0.500
0.000 0.500 0.000
0.000 0.000 0.000

=====

Pu2TaRu, relaxed, DFT PBE; final energy = -11.96 eV per atom; energy of formation = 487 meV/atom
1.0
-2.051 0.263 -2.055
-1.939 -2.139 -0.407
-7.818 3.916 6.234
Pu Ta Ru
2 1 1
direct
0.092 0.092 0.724
0.908 0.908 0.276
0.000 0.000 0.000
0.500 0.500 0.500

=====

Li2InFe, relaxed, DFT PBE; final energy = -3.42 eV per atom; energy of formation = 332 meV/atom
1.0
-3.053 2.844 -5.886
3.589 -4.700 -4.133
-1.742 -2.648 -4.798
Li In Fe
4 2 2
direct
0.605 0.125 0.250
0.875 0.855 0.750
0.145 0.625 0.250
0.375 0.395 0.750
0.750 0.250 0.500
0.000 0.000 0.000
0.500 0.500 0.000
0.250 0.750 0.500

=====

Cs2CrSnCl, relaxed, DFT PBE; final energy = -3.29 eV per atom; E_form (uncorrected) = 0.143 eV per atom
1.0
-0.184 0.871 -6.432
-5.069 -2.577 -0.204
-2.944 5.723 0.859
Cs Sn Cr Cl
2 1 1 1
direct
0.000 0.000 0.500
0.500 0.000 0.000
0.000 0.500 0.000
0.500 0.500 0.500
0.000 0.000 0.000

=====

Which volume belongs to each record? In order, 38.747 42.260 25.335 19.512 17.267 47.982 A^3/atom.